# 1
! La2YTm PBE relaxed; values from VASP
&SYSTEM
  ibrav = 0, nat = 4, ntyp = 3
/
ATOMIC_SPECIES
La 138.91 La.upf
Y 88.91 Y.upf
Tm 168.93 Tm.upf
CELL_PARAMETERS angstrom
0.000 4.100 4.100
4.100 0.000 4.100
4.100 4.100 0.000
ATOMIC_POSITIONS angstrom
La 2.050 2.050 2.050
La 6.150 6.150 6.150
Y 0.000 0.000 0.000
Tm 4.100 4.100 4.100
! Formation energy (meV per atom): 73.7
! Total magnetic moment (μB per formula unit): 0.00
! Energy (eV/atom): -5.12
! Energy above the lowest structure with this stoichiometry (eV/atom): 0.061

***

# 2
! LaY8Tm4 PBE relaxed; values from VASP
&SYSTEM
  ibrav = 0, nat = 13, ntyp = 3
/
ATOMIC_SPECIES
La 138.91 La.upf
Y 88.91 Y.upf
Tm 168.93 Tm.upf
CELL_PARAMETERS angstrom
3.645 2.104 9.033
-3.645 2.104 9.033
0.000 -4.208 9.033
ATOMIC_POSITIONS angstrom
La 0.000 0.000 0.000
Y 0.000 -1.893 10.814
Y -1.639 0.947 10.814
Y 0.000 0.000 7.606
Y -1.639 -0.947 16.285
Y 1.639 0.947 10.814
Y 0.000 0.000 19.494
Y 1.639 -0.947 16.285
Y 0.000 1.893 16.285
Tm -3.645 0.000 13.550
Tm -1.822 1.052 4.517
Tm 1.822 1.052 4.517
Tm 0.000 0.000 13.550
! Formation energy (meV per atom): 195.7
! Total magnetic moment (μB per formula unit): 0.00
! Energy (eV/atom): -5.54

***

# 3
! La5Y5Tm2 PBE relaxed; values from VASP
&SYSTEM
  ibrav = 0, nat = 12, ntyp = 3
/
ATOMIC_SPECIES
La 138.91 La.upf
Y 88.91 Y.upf
Tm 168.93 Tm.upf
CELL_PARAMETERS angstrom
8.647 -2.889 0.000
8.647 2.889 0.000
-5.741 0.000 8.157
ATOMIC_POSITIONS angstrom
La 0.000 0.000 0.000
La -2.421 0.000 6.406
La 2.836 0.000 2.088
La 8.716 0.000 6.069
La 13.973 0.000 1.751
Y 2.436 0.000 5.748
Y 6.247 0.000 0.363
Y 5.776 0.000 4.079
Y 5.305 0.000 7.794
Y 9.116 0.000 2.410
Tm -0.476 0.000 3.744
Tm 12.028 0.000 4.413
! Formation energy (meV per atom): 66.0
! Total magnetic moment (μB per formula unit): 0.00
! Energy (eV/atom): -5.43

***

# 4
! La5Y4Tm PBE relaxed; values from VASP
&SYSTEM
  ibrav = 0, nat = 10, ntyp = 3
/
ATOMIC_SPECIES
La 138.91 La.upf
Y 88.91 Y.upf
Tm 168.93 Tm.upf
CELL_PARAMETERS angstrom
9.242 -1.787 0.000
9.242 1.787 0.000
-2.792 0.000 10.780
ATOMIC_POSITIONS angstrom
La 0.000 0.000 0.000
La 3.409 0.000 10.420
La 4.622 0.000 6.420
La 11.070 0.000 4.360
La 12.283 0.000 0.360
Y 1.266 0.000 7.701
Y 8.073 0.000 2.610
Y 7.619 0.000 8.170
Y 14.426 0.000 3.079
Tm -1.396 0.000 5.390
! Formation energy (meV per atom): 191.6
! Total magnetic moment (μB per formula unit): 0.00
! Energy (eV/atom): -5.30
! Energy above the lowest structure with this stoichiometry (eV/atom): 0.167